The following is a PBE+U calculation of a geometry-optimized NaCaMoO4 structure, from Alexandria.

```
NaCaMoO4
1.0
-3.5259 0.6266 5.4396
2.3769 -5.0907 2.1271
4.8311 3.5518 3.1019
Na Ca Mo O
2 2 2 8
Direct
0.6669 0.7500 0.8648
0.3331 0.2500 0.1352
0.8752 0.7500 0.4085
0.1248 0.2500 0.5915
0.3653 0.7500 0.3733
0.6347 0.2500 0.6267
0.8369 0.4799 0.6614
0.1631 0.9799 0.3386
0.1631 0.5201 0.3386
0.8369 0.0201 0.6614
0.5905 0.7500 0.1947
0.4095 0.2500 0.8053
0.4202 0.7500 0.6311
0.5798 0.2500 0.3689
```

Summary:
Magnetization ... 2.00 μB/cell
Total energy ... -6.328 eV/atom